No. 1
A geometry-optimized Pm2Cd3Ga structure, computed with PBE.

Structure (CIF):
```
data_Pm2Cd3Ga
_cell_length_a 3.705
_cell_length_b 4.931
_cell_length_c 17.114
_cell_angle_alpha 90.00
_cell_angle_beta 90.00
_cell_angle_gamma 90.00
_space_group_name_H-M_alt 'I m m 2'
_space_group_IT_number 44
loop_
_space_group_symop_operation_xyz
'x,y,z'
'-x,-y,z'
'-x,y,z'
'x,-y,z'
'x+1/2,y+1/2,z+1/2'
'-x+1/2,-y+1/2,z+1/2'
'-x+1/2,y+1/2,z+1/2'
'x+1/2,-y+1/2,z+1/2'
loop_
_atom_site_label
_atom_site_type_symbol
_atom_site_fract_x
_atom_site_fract_y
_atom_site_fract_z
_atom_site_occupancy
Pm1 Pm 0.000 0.000 0.000 1
Pm2 Pm 0.000 0.500 0.277 1
Cd1 Cd 0.000 0.000 0.605 1
Cd2 Cd 0.000 0.500 0.679 1
Cd3 Cd 0.000 0.500 0.843 1
Ga1 Ga 0.000 0.000 0.451 1
```

- Electronic total energy: -2.846 eV per atom
- Energy of formation from the pure elements: -0.300 eV per atom

***

No. 2
A geometry-optimized PmCdGa2 structure, computed with PBE.

Structure (CIF):
```
data_PmCdGa2
_cell_length_a 4.528
_cell_length_b 4.528
_cell_length_c 4.305
_cell_angle_alpha 90.00
_cell_angle_beta 90.00
_cell_angle_gamma 90.00
_space_group_name_H-M_alt 'P 4/m m m'
_space_group_IT_number 123
_space_group_name_Hall '-P 4 2'
loop_
_atom_site_label
_atom_site_type_symbol
_atom_site_fract_x
_atom_site_fract_y
_atom_site_fract_z
_atom_site_occupancy
Pm1 Pm 0.000 0.000 0.000 1
Cd1 Cd 0.500 0.500 0.000 1
Ga1 Ga 0.000 0.500 0.500 1
```

- Electronic total energy: -3.369 eV per atom
- Energy of formation from the pure elements: -0.439 eV per atom

***

No. 3
A geometry-optimized Pm3CdGa3 structure, computed with PBE.

Structure (CIF):
```
data_Pm3CdGa3
_cell_length_a 9.1726
_cell_length_b 9.1726
_cell_length_c 4.8359
_cell_angle_alpha 90.00
_cell_angle_beta 90.00
_cell_angle_gamma 120.00
_space_group_name_H-M_alt 'P 63/m'
_space_group_IT_number 176
_space_group_name_Hall '-P 6c'
loop_
_atom_site_label
_atom_site_type_symbol
_atom_site_fract_x
_atom_site_fract_y
_atom_site_fract_z
_atom_site_occupancy
Pm1 Pm 0.0927 0.4251 0.2500 1
Cd1 Cd 0.3333 0.6667 0.7500 1
Ga1 Ga 0.0389 0.1980 0.7500 1
```

- Electronic total energy: -3.848 eV per atom
- Energy of formation from the pure elements: -0.384 eV per atom

***

no.,M_tot (μB per formula unit)
1,0.39
2,0.00
3,0.00